Cs3CaNi2F9 | GGA+U | relaxed

a = 6.1340 Å, b = 6.1340 Å, c = 7.5257 Å
α = 90.00°, β = 90.00°, γ = 120.00°
With the nearest neighbours (Å) after each atom.
Fractional positions:
F1 0.1761 0.3522 0.3206  1 Ni 2.06, 1 Ca 2.31
F2 0.8239 0.6478 0.6794  1 Ni 2.06, 1 Ca 2.31
F3 0.5000 0.5000 0.0000  2 Ni 2.14
F4 0.1761 0.8239 0.3206  1 Ni 2.06, 1 Ca 2.31
F5 0.3522 0.1761 0.6794  1 Ni 2.06, 1 Ca 2.31
F6 0.0000 0.5000 0.0000  2 Ni 2.14
F7 0.6478 0.8239 0.3206  1 Ni 2.06, 1 Ca 2.31
F8 0.5000 0.0000 0.0000  2 Ni 2.14
F9 0.8239 0.1761 0.6794  1 Ni 2.06, 1 Ca 2.31
Ni1 0.6667 0.3333 0.8404  6 F 2.06-2.14
Ni2 0.3333 0.6667 0.1596  6 F 2.06-2.14
Cs1 0.6667 0.3333 0.3280  12 F 3.04-3.13
Cs2 0.3333 0.6667 0.6720  12 F 3.04-3.13
Cs3 0.0000 0.0000 0.0000  12 F 3.05-3.07
Ca1 0.0000 0.0000 0.5000  6 F 2.31



Cs2Ca3NiF12 | GGA+U | relaxed

a = 7.8439 Å, b = 7.8439 Å, c = 7.8439 Å
α = 60.62°, β = 60.62°, γ = 60.62°
With the nearest neighbours (Å) after each atom.
Fractional positions:
F1 0.0552 0.0552 0.7310  1 Ni 1.79
F2 0.6585 0.6585 0.0604  2 Ca 2.24
F3 0.2690 0.9448 0.9448  1 Ni 1.79
F4 0.6585 0.0604 0.6585  2 Ca 2.24
F5 0.9396 0.3415 0.3415  2 Ca 2.24
F6 0.0552 0.7310 0.0552  1 Ni 1.79
F7 0.3415 0.9396 0.3415  2 Ca 2.24
F8 0.9448 0.2690 0.9448  1 Ni 1.79
F9 0.9448 0.9448 0.2690  1 Ni 1.79
F10 0.0604 0.6585 0.6585  2 Ca 2.24
F11 0.3415 0.3415 0.9396  2 Ca 2.24
F12 0.7310 0.0552 0.0552  1 Ni 1.79
Ca1 0.5000 0.0000 0.0000  6 F 2.24-2.32
Ca2 0.0000 0.5000 0.0000  6 F 2.24-2.32
Ca3 0.0000 0.0000 0.5000  6 F 2.24-2.32
Cs1 0.3738 0.3738 0.3738  3 F 3.18
Cs2 0.6262 0.6262 0.6262  3 F 3.18
Ni1 0.0000 0.0000 0.0000  6 F 1.79



Listing E for the structures above in their given order: -67.85; -86.29 eV for the cell shown.